! Li2Zn GGA-PBEsol relaxed; values from VASP
! * formation energy: -0.115 eV per atom
! * density of states at the Fermi level: 1.27 states/eV/f.u.
! * SG: No. 191
! * crystal system: hexagonal
&SYSTEM
  ibrav = 0, nat = 3, ntyp = 2
/
ATOMIC_SPECIES
Zn 65.41 Zn.upf
Li 6.94 Li.upf
CELL_PARAMETERS angstrom
-1.704 1.798 0.735
-2.608 -1.068 -3.433
-0.501 -2.069 3.898
ATOMIC_POSITIONS crystal
Zn 0.500 0.000 0.000
Li 0.000 0.667 0.333
Li 0.000 0.333 0.667

! Li3Zn4 GGA-PBEsol relaxed; values from VASP
! * formation energy: -0.126 eV per atom
! * density of states at the Fermi level: 2.11 states/eV/f.u.
! * SG: No. 139
! * crystal system: tetragonal
&SYSTEM
  ibrav = 0, nat = 7, ntyp = 2
/
ATOMIC_SPECIES
Zn 65.41 Zn.upf
Li 6.94 Li.upf
CELL_PARAMETERS angstrom
3.006 0.000 0.000
0.000 3.006 0.000
-1.503 -1.503 11.013
ATOMIC_POSITIONS crystal
Zn 0.138 0.138 0.276
Zn 0.568 0.568 0.136
Zn 0.432 0.432 0.864
Zn 0.862 0.862 0.724
Li 0.292 0.292 0.583
Li 0.708 0.708 0.417
Li 0.000 0.000 0.000

! LiZn GGA-PBEsol relaxed; values from VASP
! * formation energy: -0.150 eV per atom
! * density of states at the Fermi level: 0.67 states/eV/f.u.
! * SG: No. 63
! * crystal system: orthorhombic
&SYSTEM
  ibrav = 0, nat = 4, ntyp = 2
/
ATOMIC_SPECIES
Li 6.94 Li.upf
Zn 65.41 Zn.upf
CELL_PARAMETERS angstrom
2.549 0.000 0.000
0.000 4.163 0.000
-1.275 0.000 5.226
ATOMIC_POSITIONS crystal
Li 0.566 0.750 0.132
Li 0.434 0.250 0.868
Zn 0.185 0.250 0.371
Zn 0.815 0.750 0.629

! Li2Zn GGA-PBEsol relaxed; values from VASP
! * formation energy: -0.085 eV per atom
! * density of states at the Fermi level: 1.27 states/eV/f.u.
! * SG: No. 189
! * crystal system: hexagonal
&SYSTEM
  ibrav = 0, nat = 9, ntyp = 2
/
ATOMIC_SPECIES
Li 6.94 Li.upf
Zn 65.41 Zn.upf
CELL_PARAMETERS angstrom
-1.713 2.116 -0.013
-5.745 -4.638 2.196
4.331 3.540 5.296
ATOMIC_POSITIONS crystal
Li 0.500 0.364 0.364
Li 0.000 0.698 0.698
Li 0.000 0.000 0.302
Li 0.500 0.636 0.000
Li 0.500 0.000 0.636
Li 0.000 0.302 0.000
Zn 0.000 0.667 0.333
Zn 0.000 0.333 0.667
Zn 0.500 0.000 0.000